Here is a relaxed structure of Ca2SiW from Alexandria via LeMat-Bulk. Energies are from PBE.

Output
total magnetization: 0.77 Bohr magnetons per cell
DOS at the Fermi energy: 13.68 states/eV per cell
E_tot: -4.931 eV/atom
V: 261 Å³ per cell

abc: 3.1648 3.1648 30.0881
angles: 90.00 90.00 120.00
Closest atoms and distances in Å follow each position.
Space group R-3m (No. 166, hexagonal axes)
Inequivalent atoms, fractional coordinates:
Ca (0.0000, 0.0000, 0.2478) (multiplicity 6)  3 Si 3.05, 3 W 3.16, 6 Ca 3.16
Si (0.0000, 0.0000, 0.5000) (multiplicity 3)  6 Ca 3.05, 6 Si 3.16
W (0.0000, 0.0000, 0.0000) (multiplicity 3)  6 Ca 3.16, 6 W 3.16